Entry 1:
Density functional theory data (PBE) for a relaxed structure of Ba12Sr3Hg5.

Symmetry: Ia-3d
D(E_F) in states/eV/f.u.: 30.523
Formation energy from the elements in meV per atom: 26

abc: 18.7426 18.7426 18.7426
angles: 109.47 109.47 109.47
Last column: nearest neighbours and their distance in Å.
Fractional coordinates of all 80 atoms:
Ba 0.0245 0.1989 0.1073  2 Hg 3.33-3.38
Ba 0.0245 0.3257 0.9172  2 Hg 3.33-3.38
Ba 0.0828 0.6073 0.4084  2 Hg 3.33-3.38
Ba 0.0828 0.9755 0.6743  2 Hg 3.33-3.38
Ba 0.0916 0.6989 0.6743  2 Hg 3.33-3.38
Ba 0.0916 0.8927 0.4172  2 Hg 3.33-3.38
Ba 0.1073 0.0245 0.1989  2 Hg 3.33-3.38
Ba 0.1073 0.5828 0.9084  2 Hg 3.33-3.38
Ba 0.1743 0.1989 0.5916  2 Hg 3.33-3.38
Ba 0.1743 0.4755 0.5828  2 Hg 3.33-3.38
Ba 0.1989 0.1073 0.0245  2 Hg 3.33-3.38
Ba 0.1989 0.5916 0.1743  2 Hg 3.33-3.38
Ba 0.3011 0.3257 0.9084  2 Hg 3.33-3.38
Ba 0.3011 0.4755 0.3927  2 Hg 3.33-3.38
Ba 0.3257 0.9084 0.3011  2 Hg 3.33-3.38
Ba 0.3257 0.9172 0.0245  2 Hg 3.33-3.38
Ba 0.3927 0.3011 0.4755  2 Hg 3.33-3.38
Ba 0.3927 0.5916 0.9172  2 Hg 3.33-3.38
Ba 0.4084 0.0828 0.6073  2 Hg 3.33-3.38
Ba 0.4084 0.8257 0.8011  2 Hg 3.33-3.38
Ba 0.4172 0.0916 0.8927  2 Hg 3.33-3.38
Ba 0.4172 0.8257 0.5245  2 Hg 3.33-3.38
Ba 0.4755 0.3927 0.3011  2 Hg 3.33-3.38
Ba 0.4755 0.5828 0.1743  2 Hg 3.33-3.38
Ba 0.5245 0.4172 0.8257  2 Hg 3.33-3.38
Ba 0.5245 0.6073 0.6989  2 Hg 3.33-3.38
Ba 0.5828 0.1743 0.4755  2 Hg 3.33-3.38
Ba 0.5828 0.9084 0.1073  2 Hg 3.33-3.38
Ba 0.5916 0.1743 0.1989  2 Hg 3.33-3.38
Ba 0.5916 0.9172 0.3927  2 Hg 3.33-3.38
Ba 0.6073 0.4084 0.0828  2 Hg 3.33-3.38
Ba 0.6073 0.6989 0.5245  2 Hg 3.33-3.38
Ba 0.6743 0.0828 0.9755  2 Hg 3.33-3.38
Ba 0.6743 0.0916 0.6989  2 Hg 3.33-3.38
Ba 0.6989 0.5245 0.6073  2 Hg 3.33-3.38
Ba 0.6989 0.6743 0.0916  2 Hg 3.33-3.38
Ba 0.8011 0.4084 0.8257  2 Hg 3.33-3.38
Ba 0.8011 0.8927 0.9755  2 Hg 3.33-3.38
Ba 0.8257 0.5245 0.4172  2 Hg 3.33-3.38
Ba 0.8257 0.8011 0.4084  2 Hg 3.33-3.38
Ba 0.8927 0.4172 0.0916  2 Hg 3.33-3.38
Ba 0.8927 0.9755 0.8011  2 Hg 3.33-3.38
Ba 0.9084 0.1073 0.5828  2 Hg 3.33-3.38
Ba 0.9084 0.3011 0.3257  2 Hg 3.33-3.38
Ba 0.9172 0.0245 0.3257  2 Hg 3.33-3.38
Ba 0.9172 0.3927 0.5916  2 Hg 3.33-3.38
Ba 0.9755 0.6743 0.0828  2 Hg 3.33-3.38
Ba 0.9755 0.8011 0.8927  2 Hg 3.33-3.38
Sr 0.1250 0.2500 0.3750  8 Ba 4.23-4.35
Sr 0.1250 0.3750 0.7500  8 Ba 4.23-4.35
Sr 0.2500 0.3750 0.1250  8 Ba 4.23-4.35
Sr 0.2500 0.8750 0.6250  8 Ba 4.23-4.35
Sr 0.3750 0.1250 0.2500  8 Ba 4.23-4.35
Sr 0.3750 0.7500 0.1250  8 Ba 4.23-4.35
Sr 0.6250 0.2500 0.8750  8 Ba 4.23-4.35
Sr 0.6250 0.8750 0.7500  8 Ba 4.23-4.35
Sr 0.7500 0.1250 0.3750  8 Ba 4.23-4.35
Sr 0.7500 0.6250 0.8750  8 Ba 4.23-4.35
Sr 0.8750 0.6250 0.2500  8 Ba 4.23-4.35
Sr 0.8750 0.7500 0.6250  8 Ba 4.23-4.35
Hg 0.0000 0.0000 0.0000  6 Ba 3.38
Hg 0.0000 0.0000 0.5000  6 Ba 3.38
Hg 0.0000 0.5000 0.0000  6 Ba 3.38
Hg 0.0000 0.5000 0.5000  6 Ba 3.38
Hg 0.1250 0.7500 0.8750  4 Ba 3.33
Hg 0.1250 0.8750 0.2500  4 Ba 3.33
Hg 0.2500 0.1250 0.8750  4 Ba 3.33
Hg 0.2500 0.6250 0.3750  4 Ba 3.33
Hg 0.3750 0.2500 0.6250  4 Ba 3.33
Hg 0.3750 0.6250 0.7500  4 Ba 3.33
Hg 0.5000 0.0000 0.0000  6 Ba 3.38
Hg 0.5000 0.0000 0.5000  6 Ba 3.38
Hg 0.5000 0.5000 0.0000  6 Ba 3.38
Hg 0.5000 0.5000 0.5000  6 Ba 3.38
Hg 0.6250 0.3750 0.2500  4 Ba 3.33
Hg 0.6250 0.7500 0.3750  4 Ba 3.33
Hg 0.7500 0.3750 0.6250  4 Ba 3.33
Hg 0.7500 0.8750 0.1250  4 Ba 3.33
Hg 0.8750 0.1250 0.7500  4 Ba 3.33
Hg 0.8750 0.2500 0.1250  4 Ba 3.33

---

Entry 2:
Density functional theory data (PBE) for a relaxed structure of ZnCd.

Symmetry: Fd-3m
D(E_F) in states/eV/f.u.: 0.854
Formation energy from the elements in meV per atom: 142

abc: 4.8067 4.8067 4.8067
angles: 60.00 60.00 60.00
Last column: nearest neighbours and their distance in Å.
Fractional coordinates of all 4 atoms:
Zn 0.1250 0.1250 0.1250  4 Cd 2.94, 4 Zn 2.94
Zn 0.8750 0.8750 0.8750  4 Cd 2.94, 4 Zn 2.94
Cd 0.3750 0.3750 0.3750  4 Cd 2.94, 4 Zn 2.94
Cd 0.6250 0.6250 0.6250  4 Zn 2.94, 4 Cd 2.94

---

Entry 3:
Density functional theory data (PBE) for a relaxed structure of NaZn2H.

Symmetry: I4_1/amd
Distance to the lowest polymorph of the same formula in eV/atom: 0.000
D(E_F) in states/eV/f.u.: 0.352

abc: 6.0134 6.0134 6.0134
angles: 123.95 123.95 83.28
Last column: nearest neighbours and their distance in Å.
Fractional coordinates of all 8 atoms:
Na 0.3750 0.6250 0.7500  12 Zn 3.35-3.65, 4 H 3.61, 4 Na 3.61
Na 0.6250 0.3750 0.2500  12 Zn 3.35-3.65, 4 H 3.61, 4 Na 3.61
Zn 0.0000 0.0000 0.0000  2 H 1.80
Zn 0.0000 0.0000 0.5000  2 H 1.80
Zn 0.0000 0.5000 0.0000  2 H 1.80
Zn 0.5000 0.0000 0.5000  2 H 1.80
H 0.1250 0.8750 0.2500  4 Zn 1.80
H 0.8750 0.1250 0.7500  4 Zn 1.80

---

Entry 4:
Density functional theory data (PBE) for a relaxed structure of ErAlNiRh.

Symmetry: F-43m
D(E_F) in states/eV/f.u.: 2.531
Formation energy from the elements in meV per atom: -689

abc: 4.5030 4.5030 4.5030
angles: 60.00 60.00 60.00
Last column: nearest neighbours and their distance in Å.
Fractional coordinates of all 4 atoms:
Er 0.0000 0.0000 0.0000  4 Rh 2.76, 4 Ni 2.76
Al 0.5000 0.5000 0.5000  4 Rh 2.76, 4 Ni 2.76
Ni 0.2500 0.2500 0.2500  4 Er 2.76, 4 Al 2.76
Rh 0.7500 0.7500 0.7500  4 Er 2.76, 4 Al 2.76